Entry 1:
MgTl2P2: optimized geometry, GGA-PBE.

Properties
DFT formation energy: 0.192 eV per atom
Density of states at the Fermi level: 0.482 states/eV per atom

Unit cell a=7.4809 b=7.4809 c=4.1385 alpha=90.00 beta=90.00 gamma=90.00
Last column: nearest neighbours and their distance in Å.
Space group P4/mbm (No. 127)
Unique sites:
1 Mg 0.0000 0.0000 0.0000  4 P 2.76
2 Tl 0.1474 0.3526 0.5000  2 P 2.79, 1 Tl 3.12
3 P 0.1755 0.6755 0.0000  2 Mg 2.76, 2 Tl 2.79

Entry 2:
Sr2I2Br: optimized geometry, GGA-PBE.

Properties
Formation energy from raw total energies: -1539 meV per atom
Density of states at the Fermi level: 0.090 states/eV per atom
Distance to the lowest polymorph of the same formula: 0 meV per atom

Unit cell a=15.1800 b=6.7516 c=9.0898 alpha=90.00 beta=116.77 gamma=90.00
Last column: nearest neighbours and their distance in Å.
Space group C2/m (No. 12)
Unique sites:
1 Sr 0.0113 0.0000 0.2424  2 Br 3.12-3.13, 3 I 3.43-3.45
2 Sr 0.1470 0.5000 0.0778  1 Br 3.10, 3 I 3.30-3.41
3 I 0.0363 0.5000 0.3175  4 Sr 3.30-3.43
4 I 0.2074 0.0000 0.1173  5 Sr 3.40-3.63
5 Br 0.1453 0.0000 0.6228  3 Sr 3.10-3.13

Entry 3:
KPbW: optimized geometry, GGA-PBE.

Properties
DFT formation energy: 1.153 eV per atom
Density of states at the Fermi level: 0.728 states/eV per atom
Distance to the lowest polymorph of the same formula: 127 meV per atom

Unit cell a=3.0360 b=4.7393 c=12.9342 alpha=90.00 beta=90.00 gamma=90.00
Last column: nearest neighbours and their distance in Å.
Space group Imm2 (No. 44)
Unique sites:
1 K 0.0000 0.0000 0.0000  2 K 3.04
2 Pb 0.0000 0.0000 0.7359  4 W 2.84, 2 Pb 3.04
3 W 0.0000 0.0000 0.2682  4 Pb 2.84, 2 W 3.04

Entry 4:
Cs2Rb8Na: optimized geometry, GGA-PBE.

Properties
DFT formation energy: 0.019 eV per atom
Density of states at the Fermi level: 0.886 states/eV per atom

Unit cell a=25.4136 b=7.5941 c=10.3991 alpha=90.00 beta=100.53 gamma=90.00
Last column: nearest neighbours and their distance in Å.
Space group C2/m (No. 12)
Unique sites:
1 Cs 0.2170 0.0000 0.1458  10 Rb 4.99-5.35, 2 Cs 5.32
2 Rb 0.0275 0.0000 0.2487  7 Rb 4.72-5.11, 2 Na 4.73, 1 Cs 5.12
3 Rb 0.0840 0.5000 0.9151  1 Na 4.45, 3 Rb 4.86-4.91
4 Rb 0.1479 0.0000 0.6606  7 Rb 4.72-5.07, 3 Cs 5.03-5.27
5 Rb 0.1584 0.5000 0.3968  1 Na 4.35, 2 Rb 4.72
6 Na 0.0000 0.5000 0.5000  8 Rb 4.35-4.73

Entry 5:
ZrBeZn2: optimized geometry, GGA-PBE.

Properties
DFT formation energy: 0.168 eV per atom
Density of states at the Fermi level: 0.361 states/eV per atom

Unit cell a=5.5472 b=8.8769 c=2.6154 alpha=90.00 beta=90.00 gamma=90.00
Last column: nearest neighbours and their distance in Å.
Space group Cmmm (No. 65)
Unique sites:
1 Zr 0.0000 0.0000 0.0000  2 Zr 2.62, 2 Be 2.77, 8 Zn 2.93
2 Be 0.0000 0.5000 0.0000  2 Be 2.62, 2 Zr 2.77, 8 Zn 2.93
3 Zn 0.2500 0.2500 0.5000  4 Zn 2.62-2.77, 4 Zr 2.93, 4 Be 2.93

Entry 6:
BaLiBr: optimized geometry, GGA-PBE.

Properties
Formation energy from raw total energies: -596 meV per atom
Density of states at the Fermi level: 0.037 states/eV per atom
Distance to the lowest polymorph of the same formula: 421 meV per atom

Unit cell a=8.1140 b=8.1140 c=8.1140 alpha=90.00 beta=90.00 gamma=90.00
Last column: nearest neighbours and their distance in Å.
Space group F-43m (No. 216)
Unique sites:
1 Ba 0.0000 0.0000 0.0000  4 Br 3.51, 4 Li 3.51
2 Li 0.2500 0.2500 0.7500  4 Ba 3.51
3 Br 0.2500 0.2500 0.2500  4 Ba 3.51

Entry 7:
CePmTh2Bi4: optimized geometry, GGA-PBE.

Properties
DFT formation energy: -0.728 eV per atom
Density of states at the Fermi level: 1.406 states/eV per atom

Unit cell a=7.9486 b=4.5943 c=7.9701 alpha=90.00 beta=109.47 gamma=90.00
Last column: nearest neighbours and their distance in Å.
Space group P2/m (No. 10)
Unique sites:
1 Ce 0.0000 0.0000 0.0000  6 Bi 3.24
2 Pm 0.0000 0.5000 0.5000  6 Bi 3.24
3 Th 0.5000 0.0000 0.5000  6 Bi 3.25
4 Th 0.5000 0.5000 0.0000  6 Bi 3.26
5 Bi 0.2485 0.0000 0.7493  2 Pm 3.24, 1 Ce 3.24, 3 Th 3.25-3.26
6 Bi 0.2486 0.5000 0.2500  1 Pm 3.24, 2 Ce 3.24, 3 Th 3.25-3.26

Entry 8:
PrYTl3: optimized geometry, GGA-PBE.

Properties
DFT formation energy: 0.114 eV per atom
Density of states at the Fermi level: 0.935 states/eV per atom

Unit cell a=5.9942 b=5.9942 c=22.0128 alpha=90.00 beta=90.00 gamma=90.00
Last column: nearest neighbours and their distance in Å.
Space group I-4m2 (No. 119)
Unique sites:
1 Pr 0.0000 0.0000 0.0858  8 Tl 3.41-3.69, 1 Pr 3.78
2 Y 0.0000 0.0000 0.5000  8 Tl 3.01-3.21
3 Y 0.0000 0.5000 0.7500  4 Tl 3.06
4 Tl 0.0000 0.2448 0.6297  2 Tl 2.94-3.06, 2 Y 3.06-3.21
5 Tl 0.0000 0.5000 0.0120  2 Y 3.01

Entry 9:
CsPH2C: optimized geometry, GGA-PBE.

Properties
Density of states at the Fermi level: 0.117 states/eV per atom
Distance to the lowest polymorph of the same formula: 192 meV per atom

Unit cell a=3.6433 b=4.3133 c=5.7148 alpha=88.32 beta=71.57 gamma=89.92
Last column: nearest neighbours and their distance in Å.
Space group P1 (No. 1)
Unique sites:
1 Cs 0.0000 0.0000 0.0000  6 H 3.09-3.16
2 P 0.7238 0.5098 0.5487  1 H 1.44
3 H 0.2760 0.1883 0.4449  1 C 1.11
4 H 0.7170 0.8422 0.5615  1 P 1.44
5 C 0.2694 0.4448 0.4577  1 H 1.11

Entry 10:
Sr2TlVCl8: optimized geometry, GGA-PBE.

Properties
Formation energy from raw total energies: -1754 meV per atom
Density of states at the Fermi level: 0.746 states/eV per atom

Unit cell a=6.3271 b=8.8925 c=6.5635 alpha=90.00 beta=90.32 gamma=90.00
Last column: nearest neighbours and their distance in Å.
Space group P2/m (No. 10)
Unique sites:
1 Sr 0.0000 0.2418 0.0000  6 Cl 2.85-3.02
2 Tl 0.5000 0.5000 0.5000  6 Cl 3.01-3.21
3 V 0.5000 0.0000 0.5000  6 Cl 2.39-2.49
4 Cl 0.2352 0.5000 0.8790  2 Sr 2.85, 1 Tl 3.01
5 Cl 0.2621 0.0000 0.8018  1 V 2.49
6 Cl 0.2854 0.1915 0.3504  1 V 2.39

Entry 11:
Hf2SnPd4: optimized geometry, GGA-PBE.

Properties
DFT formation energy: -0.535 eV per atom
Density of states at the Fermi level: 0.494 states/eV per atom

Unit cell a=6.4950 b=6.9846 c=7.1151 alpha=100.08 beta=113.18 gamma=108.42
Last column: nearest neighbours and their distance in Å.
Space group P1 (No. 1)
Unique sites:
1 Hf 0.0000 0.0000 0.0000  5 Pd 2.68-3.00
2 Hf 0.1344 0.0515 0.5601  5 Pd 2.64-2.77
3 Hf 0.3020 0.5765 0.6769  7 Pd 2.68-3.00
4 Hf 0.7466 0.5513 0.5332  6 Pd 2.72-2.87
5 Sn 0.6025 0.7999 0.2152  8 Pd 2.75-3.02, 1 Hf 3.00
6 Sn 0.7194 0.2984 0.8536  4 Pd 2.60-2.79
7 Pd 0.1005 0.6478 0.9540  2 Sn 2.60-2.75, 2 Pd 2.69-2.82, 3 Hf 2.74-2.82
8 Pd 0.2574 0.4394 0.2754  5 Pd 2.69-2.94, 3 Hf 2.72-2.85
9 Pd 0.3868 0.3693 0.9631  2 Hf 2.68-2.76, 2 Pd 2.69-2.74, 2 Sn 2.72-2.77
10 Pd 0.4105 0.9804 0.9140  3 Hf 2.69-3.00, 4 Pd 2.69-2.99, 2 Sn 2.71-2.75
11 Pd 0.4282 0.1202 0.3611  3 Hf 2.68-2.77, 3 Pd 2.78-2.84
12 Pd 0.6040 0.8849 0.6081  3 Hf 2.68-2.81, 2 Sn 2.75-2.79, 2 Pd 2.78-2.99
13 Pd 0.8658 0.2398 0.3313  4 Pd 2.71-2.94, 3 Hf 2.72-2.87, 1 Sn 2.78
14 Pd 0.9789 0.6609 0.2944  2 Hf 2.64-2.74, 3 Pd 2.75-2.88, 1 Sn 2.80

Entry 12:
CaAgP: optimized geometry, GGA-PBE.

Properties
DFT formation energy: -0.332 eV per atom
Density of states at the Fermi level: 0.112 states/eV per atom

Unit cell a=5.6373 b=5.6595 c=8.2107 alpha=90.00 beta=90.00 gamma=90.00
Last column: nearest neighbours and their distance in Å.
Space group Fmm2 (No. 42)
Unique sites:
1 Ca 0.0000 0.0000 0.0000  5 Ag 2.81-3.11, 5 P 2.85-3.09
2 Ag 0.0000 0.0000 0.3428  1 P 2.54, 1 Ca 2.81
3 P 0.0000 0.0000 0.6525  1 Ag 2.54

Entry 13:
PmNbAl2: optimized geometry, GGA-PBE.

Properties
DFT formation energy: 0.016 eV per atom
Density of states at the Fermi level: 0.800 states/eV per atom
Distance to the lowest polymorph of the same formula: 243 meV per atom

Unit cell a=3.0926 b=3.0926 c=30.1514 alpha=90.00 beta=90.00 gamma=120.00
Last column: nearest neighbours and their distance in Å.
Space group R-3m (No. 166, hexagonal axes)
Unique sites:
1 Pm 0.0000 0.0000 0.0000  6 Pm 3.09, 6 Al 3.31
2 Nb 0.0000 0.0000 0.5000  6 Al 2.86, 6 Nb 3.09
3 Al 0.0000 0.0000 0.2407  3 Nb 2.86, 6 Al 3.09